Record 1
3
Lattice="3.208 0.000 0.000 0.000 4.185 0.000 0.000 -2.093 3.625" Properties=species:S:1:pos:R:3 comment="AlSbH PBE relaxed" spacegroup=P3m1 e_tot_ev_per_atom=-3.24 crystal_system=trigonal polymorph_energy_mev_per_atom=509 magmom_total_mub_per_cell=0.000 dos_ef_per_ev_cell=1.29 pbc="T T T"
Sb 2.142 0.000 2.416
Al 0.538 2.093 1.208
H 0.528 0.000 0.000

=====

Record 2
7
Lattice="4.124 -0.060 -0.208 -0.086 6.424 0.086 -2.462 -0.645 4.664" Properties=species:S:1:pos:R:3 comment="Al4Ag3 PBE relaxed" delta_e_f_ev_per_atom=0.01 spacegroup=P-1 e_tot_ev_per_atom=-3.35 crystal_system=triclinic polymorph_energy_mev_per_atom=51 magmom_total_mub_per_cell=0.000 dos_ef_per_ev_cell=1.55 pbc="T T T"
Ag -0.063 6.387 0.138
Ag -0.368 1.257 3.933
Ag 1.704 3.197 3.150
Al 1.893 0.605 1.875
Al -0.166 2.554 1.327
Al 1.939 4.447 0.603
Al -0.297 5.136 2.685

=====

Record 3
4
Lattice="5.131 0.001 0.004 4.030 3.177 0.004 2.380 0.825 4.251" Properties=species:S:1:pos:R:3 comment="Ta2MoSe PBE relaxed" raw_formation_energy_ev_per_atom=0.0807 spacegroup=Immm e_tot_ev_per_atom=-9.42 crystal_system=orthorhombic magmom_total_mub_per_cell=0.000 dos_ef_per_ev_cell=1.67 pbc="T T T"
Mo 8.655 3.002 3.194
Se 2.885 1.001 1.065
Ta 9.118 3.163 0.034
Ta 5.813 2.016 2.102